# 1
# TaInPb2

A relaxed TaInPb2 crystal (PBE, Alexandria via LeMat-Bulk). Values from VASP.

Quantum ESPRESSO input file:
```
&SYSTEM
  ibrav = 0, nat = 4, ntyp = 3
/
ATOMIC_SPECIES
Ta 180.95 Ta.upf
In 114.82 In.upf
Pb 207.20 Pb.upf
CELL_PARAMETERS angstrom
1.610 0.929 11.492
-1.610 0.929 11.492
0.000 -1.859 11.492
ATOMIC_POSITIONS crystal
Ta 0.000 0.000 0.000
In 0.263 0.263 0.263
Pb 0.512 0.512 0.512
Pb 0.741 0.741 0.741
```

Properties
- Magnetic moment: 0.0 μB per cell
- Theoretical density: 11.43 g/cm3
- Formation energy: 0.317 eV per atom
- N(E_F): 2.54 states/eV/f.u.


# 2
# Sr2CeYO6

A relaxed Sr2CeYO6 crystal (PBE, Alexandria via LeMat-Bulk). Values from VASP.

Quantum ESPRESSO input file:
```
&SYSTEM
  ibrav = 0, nat = 20, ntyp = 4
/
ATOMIC_SPECIES
Sr 87.62 Sr.upf
Ce 140.12 Ce.upf
Y 88.91 Y.upf
O 16.00 O.upf
CELL_PARAMETERS angstrom
6.024 0.000 0.000
0.000 6.183 0.000
-6.015 0.000 8.625
ATOMIC_POSITIONS crystal
Sr 0.234 0.047 0.250
Sr 0.234 0.453 0.750
Sr 0.766 0.547 0.250
Sr 0.766 0.953 0.750
Ce 0.500 0.000 0.000
Ce 0.500 0.500 0.500
Y 0.000 0.000 0.500
Y 0.000 0.500 0.000
O 0.148 0.203 0.942
O 0.148 0.297 0.442
O 0.240 0.708 0.941
O 0.240 0.792 0.441
O 0.360 0.046 0.752
O 0.360 0.454 0.252
O 0.640 0.546 0.748
O 0.640 0.954 0.248
O 0.760 0.208 0.559
O 0.760 0.292 0.059
O 0.852 0.703 0.558
O 0.852 0.797 0.058
```

Properties
- Magnetic moment: 2.1 μB per cell
- Theoretical density: 5.17 g/cm3
- Raw formation energy: -2968 meV per atom
- N(E_F): 8.96 states/eV/f.u.


# 3
# ZrAl3S

A relaxed ZrAl3S crystal (PBE, Alexandria via LeMat-Bulk). Values from VASP.

Quantum ESPRESSO input file:
```
&SYSTEM
  ibrav = 0, nat = 5, ntyp = 3
/
ATOMIC_SPECIES
Zr 91.22 Zr.upf
Al 26.98 Al.upf
S 32.06 S.upf
CELL_PARAMETERS angstrom
4.643 0.000 0.000
0.000 4.643 0.000
0.000 0.000 4.643
ATOMIC_POSITIONS crystal
Zr 0.000 0.000 0.000
Al 0.000 0.500 0.500
Al 0.500 0.000 0.500
Al 0.500 0.500 0.000
S 0.500 0.500 0.500
```

Properties
- Magnetic moment: 0.0 μB per cell
- Polymorph energy (0 for the lowest one): 0.00 eV per formula unit
- Theoretical density: 3.39 g/cm3
- Raw formation energy: 283 meV per atom
- N(E_F): 5.12 states/eV/f.u.


# 4
# CaLuSc2

A relaxed CaLuSc2 crystal (PBE, Alexandria via LeMat-Bulk). Values from VASP.

Quantum ESPRESSO input file:
```
&SYSTEM
  ibrav = 0, nat = 4, ntyp = 3
/
ATOMIC_SPECIES
Ca 40.08 Ca.upf
Lu 174.97 Lu.upf
Sc 44.96 Sc.upf
CELL_PARAMETERS angstrom
3.446 0.000 0.000
0.000 3.446 0.000
0.000 0.000 9.850
ATOMIC_POSITIONS crystal
Ca 0.000 0.000 0.000
Lu 0.000 0.000 0.500
Sc 0.500 0.500 0.274
Sc 0.500 0.500 0.726
```

Properties
- Magnetic moment: 0.0 μB per cell
- Polymorph energy (0 for the lowest one): 0.00 eV per formula unit
- Theoretical density: 4.33 g/cm3
- Formation energy: 0.141 eV per atom
- N(E_F): 6.88 states/eV/f.u.


# 5
# BaAcHg4

A relaxed BaAcHg4 crystal (PBE, Alexandria via LeMat-Bulk). Values from VASP.

Quantum ESPRESSO input file:
```
&SYSTEM
  ibrav = 0, nat = 6, ntyp = 3
/
ATOMIC_SPECIES
Ba 137.33 Ba.upf
Ac 227.00 Ac.upf
Hg 200.59 Hg.upf
CELL_PARAMETERS angstrom
4.749 -4.515 0.000
4.749 4.515 0.000
-2.758 0.000 4.351
ATOMIC_POSITIONS crystal
Ba 0.000 0.000 0.000
Ac 0.500 0.500 0.500
Hg 0.097 0.431 0.764
Hg 0.431 0.097 0.764
Hg 0.569 0.903 0.236
Hg 0.903 0.569 0.236
```

Properties
- Magnetic moment: 0.0 μB per cell
- Polymorph energy (0 for the lowest one): 0.09 eV per formula unit
- Theoretical density: 10.39 g/cm3
- Formation energy: -0.473 eV per atom
- N(E_F): 4.12 states/eV/f.u.


# 6
# La3Pm3Tm8

A relaxed La3Pm3Tm8 crystal (PBE, Alexandria via LeMat-Bulk). Values from VASP.

Quantum ESPRESSO input file:
```
&SYSTEM
  ibrav = 0, nat = 14, ntyp = 3
/
ATOMIC_SPECIES
La 138.91 La.upf
Pm 145.00 Pm.upf
Tm 168.93 Tm.upf
CELL_PARAMETERS angstrom
-2.833 5.376 7.649
2.833 -5.376 7.649
2.833 5.376 -7.649
ATOMIC_POSITIONS crystal
La 0.000 0.000 0.000
La 0.189 0.689 0.500
La 0.811 0.311 0.500
Pm 0.199 0.500 0.699
Pm 0.500 0.500 0.000
Pm 0.801 0.500 0.301
Tm 0.119 0.281 0.838
Tm 0.239 0.898 0.341
Tm 0.443 0.102 0.341
Tm 0.443 0.281 0.162
Tm 0.557 0.719 0.838
Tm 0.557 0.898 0.659
Tm 0.761 0.102 0.659
Tm 0.881 0.719 0.162
```

Properties
- Magnetic moment: 0.0 μB per cell
- Theoretical density: 7.85 g/cm3
- Formation energy: 0.104 eV per atom
- N(E_F): 22.03 states/eV/f.u.


# 7
# Er4IrRh2

A relaxed Er4IrRh2 crystal (PBE, Alexandria via LeMat-Bulk). Values from VASP.

Quantum ESPRESSO input file:
```
&SYSTEM
  ibrav = 0, nat = 14, ntyp = 3
/
ATOMIC_SPECIES
Er 167.26 Er.upf
Ir 192.22 Ir.upf
Rh 102.91 Rh.upf
CELL_PARAMETERS angstrom
-4.235 4.258 4.259
4.235 -4.258 4.259
4.235 4.258 -4.259
ATOMIC_POSITIONS crystal
Er 0.001 0.873 0.499
Er 0.129 0.131 0.130
Er 0.371 0.501 0.002
Er 0.499 0.998 0.872
Er 0.502 0.999 0.370
Er 0.626 0.627 0.628
Er 0.874 0.502 0.001
Er 0.998 0.369 0.498
Ir 0.250 0.629 0.379
Ir 0.750 0.871 0.121
Rh 0.118 0.750 0.868
Rh 0.382 0.250 0.632
Rh 0.625 0.375 0.250
Rh 0.875 0.125 0.750
```

Properties
- Magnetic moment: 0.0 μB per cell
- Polymorph energy (0 for the lowest one): 0.00 eV per formula unit
- Theoretical density: 11.53 g/cm3
- Formation energy: -0.795 eV per atom
- N(E_F): 3.82 states/eV/f.u.


# 8
# SnPb

A relaxed SnPb crystal (PBE, Alexandria via LeMat-Bulk). Values from VASP.

Quantum ESPRESSO input file:
```
&SYSTEM
  ibrav = 0, nat = 8, ntyp = 2
/
ATOMIC_SPECIES
Sn 118.71 Sn.upf
Pb 207.20 Pb.upf
CELL_PARAMETERS angstrom
8.341 0.000 0.000
0.000 8.341 0.000
0.000 0.000 4.860
ATOMIC_POSITIONS crystal
Sn 0.178 0.178 0.000
Sn 0.322 0.678 0.500
Sn 0.678 0.322 0.500
Sn 0.822 0.822 0.000
Pb 0.179 0.821 0.000
Pb 0.321 0.321 0.500
Pb 0.679 0.679 0.500
Pb 0.821 0.179 0.000
```

Properties
- Magnetic moment: 0.0 μB per cell
- Theoretical density: 6.40 g/cm3
- Formation energy: 0.225 eV per atom
- N(E_F): 0.61 states/eV/f.u.


# 9
# TaGa2TePd

A relaxed TaGa2TePd crystal (PBE, Alexandria via LeMat-Bulk). Values from VASP.

Quantum ESPRESSO input file:
```
&SYSTEM
  ibrav = 0, nat = 5, ntyp = 4
/
ATOMIC_SPECIES
Ta 180.95 Ta.upf
Ga 69.72 Ga.upf
Te 127.60 Te.upf
Pd 106.42 Pd.upf
CELL_PARAMETERS angstrom
4.654 0.000 0.000
0.000 4.654 0.000
0.000 0.000 5.528
ATOMIC_POSITIONS crystal
Ta 0.000 0.000 0.000
Ga 0.000 0.500 0.500
Ga 0.500 0.000 0.500
Te 0.500 0.500 0.000
Pd 0.500 0.500 0.500
```

Properties
- Magnetic moment: 2.5 μB per cell
- Theoretical density: 7.69 g/cm3
- Raw formation energy: 727 meV per atom
- N(E_F): 5.39 states/eV/f.u.


# 10
# PaGa2Ge2

A relaxed PaGa2Ge2 crystal (PBE, Alexandria via LeMat-Bulk). Values from VASP.

Quantum ESPRESSO input file:
```
&SYSTEM
  ibrav = 0, nat = 10, ntyp = 3
/
ATOMIC_SPECIES
Pa 231.04 Pa.upf
Ga 69.72 Ga.upf
Ge 72.64 Ge.upf
CELL_PARAMETERS angstrom
2.051 -11.548 0.000
2.051 11.548 0.000
0.000 0.000 4.147
ATOMIC_POSITIONS crystal
Pa 0.150 0.850 0.750
Pa 0.850 0.150 0.250
Ga 0.046 0.954 0.250
Ga 0.455 0.545 0.250
Ga 0.545 0.455 0.750
Ga 0.954 0.046 0.750
Ge 0.249 0.751 0.250
Ge 0.358 0.642 0.750
Ge 0.642 0.358 0.250
Ge 0.751 0.249 0.750
```

Properties
- Magnetic moment: 0.0 μB per cell
- Polymorph energy (0 for the lowest one): 0.00 eV per formula unit
- Theoretical density: 8.72 g/cm3
- Formation energy: -0.258 eV per atom
- N(E_F): 3.81 states/eV/f.u.


# 11
# MnBSeBr2

A relaxed MnBSeBr2 crystal (PBE, Alexandria via LeMat-Bulk). Values from VASP.

Quantum ESPRESSO input file:
```
&SYSTEM
  ibrav = 0, nat = 5, ntyp = 4
/
ATOMIC_SPECIES
Mn 54.94 Mn.upf
B 10.81 B.upf
Se 78.96 Se.upf
Br 79.90 Br.upf
CELL_PARAMETERS angstrom
4.586 0.000 0.000
0.000 4.586 0.000
0.000 0.000 4.815
ATOMIC_POSITIONS crystal
Mn 0.000 0.000 0.000
B 0.500 0.500 0.500
Se 0.500 0.500 0.000
Br 0.000 0.500 0.500
Br 0.500 0.000 0.500
```

Properties
- Magnetic moment: 5.0 μB per cell
- Polymorph energy (0 for the lowest one): 0.00 eV per formula unit
- Theoretical density: 4.99 g/cm3
- Raw formation energy: 611 meV per atom
- N(E_F): 1.15 states/eV/f.u.